# PmPr3Nd6 PBE-GGA optimized geometry
data_PmPr3Nd6
_chemical_formula_sum 'Pm2 Pr6 Nd12'
_cell_length_a 11.260
_cell_length_b 11.260
_cell_length_c 6.532
_cell_angle_alpha 90.00
_cell_angle_beta 90.00
_cell_angle_gamma 120.76
_symmetry_space_group_name_H-M 'P 1'
_symmetry_Int_Tables_number 1
loop_
_symmetry_equiv_pos_as_xyz
'x,y,z'
loop_
_atom_site_label
_atom_site_fract_x
_atom_site_fract_y
_atom_site_fract_z
Pm1 0.190 0.810 0.500
Pm2 0.810 0.190 0.000
Pr1 0.058 0.293 0.646
Pr2 0.293 0.058 0.146
Pr3 0.384 0.616 0.522
Pr4 0.616 0.384 0.022
Pr5 0.707 0.942 0.646
Pr6 0.942 0.707 0.146
Nd1 0.034 0.966 0.749
Nd2 0.057 0.473 0.233
Nd3 0.279 0.721 0.960
Nd4 0.289 0.371 0.052
Nd5 0.371 0.289 0.552
Nd6 0.473 0.057 0.733
Nd7 0.527 0.943 0.233
Nd8 0.629 0.711 0.052
Nd9 0.711 0.629 0.552
Nd10 0.721 0.279 0.460
Nd11 0.943 0.527 0.733
Nd12 0.966 0.034 0.249
# energy above the most stable polymorph in this dataset: 0 meV per atom
# calculated total energy: -4.641 eV per atom
# N(E_F): 1.357 states/eV/atom
# energy relative to the elements: 0.13 eV/atom



# PmPr7Nd2 PBE-GGA optimized geometry
data_PmPr7Nd2
_chemical_formula_sum 'Pm1 Pr7 Nd2'
_cell_length_a 15.517
_cell_length_b 15.517
_cell_length_c 3.498
_cell_angle_alpha 90.00
_cell_angle_beta 90.00
_cell_angle_gamma 154.78
_symmetry_space_group_name_H-M 'P 1'
_symmetry_Int_Tables_number 1
loop_
_symmetry_equiv_pos_as_xyz
'x,y,z'
loop_
_atom_site_label
_atom_site_fract_x
_atom_site_fract_y
_atom_site_fract_z
Pm1 0.000 0.000 0.000
Pr1 0.144 0.344 0.500
Pr2 0.309 0.691 0.000
Pr3 0.344 0.144 0.500
Pr4 0.500 0.500 0.500
Pr5 0.656 0.856 0.500
Pr6 0.691 0.309 0.000
Pr7 0.856 0.656 0.500
Nd1 0.206 0.794 0.500
Nd2 0.794 0.206 0.500
# energy above the most stable polymorph in this dataset: 0 meV per atom
# calculated total energy: -4.614 eV per atom
# N(E_F): 1.614 states/eV/atom
# energy relative to the elements: 0.16 eV/atom



# PmPr2Nd2 PBE-GGA optimized geometry
data_PmPr2Nd2
_chemical_formula_sum 'Pm2 Pr4 Nd4'
_cell_length_a 9.022
_cell_length_b 9.022
_cell_length_c 6.438
_cell_angle_alpha 90.00
_cell_angle_beta 90.00
_cell_angle_gamma 134.53
_symmetry_space_group_name_H-M 'P 1'
_symmetry_Int_Tables_number 1
loop_
_symmetry_equiv_pos_as_xyz
'x,y,z'
loop_
_atom_site_label
_atom_site_fract_x
_atom_site_fract_y
_atom_site_fract_z
Pm1 0.000 0.000 0.000
Pm2 0.000 0.000 0.500
Pr1 0.170 0.830 0.750
Pr2 0.402 0.598 0.250
Pr3 0.598 0.402 0.750
Pr4 0.830 0.170 0.250
Nd1 0.069 0.409 0.750
Nd2 0.409 0.069 0.250
Nd3 0.591 0.931 0.750
Nd4 0.931 0.591 0.250
# energy above the most stable polymorph in this dataset: 148 meV per atom
# calculated total energy: -4.494 eV per atom
# N(E_F): 1.497 states/eV/atom
# energy relative to the elements: 0.28 eV/atom



# PmPr2Nd4 PBE-GGA optimized geometry
data_PmPr2Nd4
_chemical_formula_sum 'Pm1 Pr2 Nd4'
_cell_length_a 21.135
_cell_length_b 21.135
_cell_length_c 21.135
_cell_angle_alpha 10.01
_cell_angle_beta 10.01
_cell_angle_gamma 10.01
_symmetry_space_group_name_H-M 'P 1'
_symmetry_Int_Tables_number 1
loop_
_symmetry_equiv_pos_as_xyz
'x,y,z'
loop_
_atom_site_label
_atom_site_fract_x
_atom_site_fract_y
_atom_site_fract_z
Pm1 0.000 0.000 0.000
Pr1 0.428 0.428 0.428
Pr2 0.572 0.572 0.572
Nd1 0.143 0.143 0.143
Nd2 0.286 0.286 0.286
Nd3 0.714 0.714 0.714
Nd4 0.857 0.857 0.857
# energy above the most stable polymorph in this dataset: 0 meV per atom
# calculated total energy: -4.761 eV per atom
# N(E_F): 1.407 states/eV/atom
# energy relative to the elements: 0.01 eV/atom



# Pm10Pr4Nd PBE-GGA optimized geometry
data_Pm10Pr4Nd
_chemical_formula_sum 'Pm10 Pr4 Nd1'
_cell_length_a 8.849
_cell_length_b 8.849
_cell_length_c 8.849
_cell_angle_alpha 111.64
_cell_angle_beta 111.64
_cell_angle_gamma 105.22
_symmetry_space_group_name_H-M 'P 1'
_symmetry_Int_Tables_number 1
loop_
_symmetry_equiv_pos_as_xyz
'x,y,z'
loop_
_atom_site_label
_atom_site_fract_x
_atom_site_fract_y
_atom_site_fract_z
Pm1 0.043 0.366 0.090
Pm2 0.048 0.957 0.323
Pm3 0.250 0.750 0.500
Pm4 0.276 0.952 0.910
Pm5 0.366 0.276 0.323
Pm6 0.634 0.724 0.677
Pm7 0.724 0.048 0.090
Pm8 0.750 0.250 0.500
Pm9 0.952 0.043 0.677
Pm10 0.957 0.634 0.910
Pr1 0.171 0.442 0.613
Pr2 0.442 0.829 0.271
Pr3 0.558 0.171 0.729
Pr4 0.829 0.558 0.387
Nd1 0.500 0.500 0.000
# calculated total energy: -4.466 eV per atom
# N(E_F): 1.343 states/eV/atom
# energy relative to the elements: 0.29 eV/atom



# Pm4Pr4Nd3 PBE-GGA optimized geometry
data_Pm4Pr4Nd3
_chemical_formula_sum 'Pm4 Pr4 Nd3'
_cell_length_a 10.964
_cell_length_b 6.797
_cell_length_c 6.797
_cell_angle_alpha 51.11
_cell_angle_beta 90.00
_cell_angle_gamma 90.00
_symmetry_space_group_name_H-M 'P 1'
_symmetry_Int_Tables_number 1
loop_
_symmetry_equiv_pos_as_xyz
'x,y,z'
loop_
_atom_site_label
_atom_site_fract_x
_atom_site_fract_y
_atom_site_fract_z
Pm1 0.000 0.000 0.000
Pm2 0.210 0.801 0.801
Pm3 0.500 0.939 0.939
Pm4 0.790 0.801 0.801
Pr1 0.000 0.595 0.595
Pr2 0.291 0.143 0.143
Pr3 0.500 0.665 0.665
Pr4 0.709 0.143 0.143
Nd1 0.000 0.299 0.299
Nd2 0.302 0.445 0.445
Nd3 0.698 0.445 0.445
# energy above the most stable polymorph in this dataset: 14 meV per atom
# calculated total energy: -4.625 eV per atom
# N(E_F): 1.794 states/eV/atom
# energy relative to the elements: 0.14 eV/atom



# Pm3PrNd PBE-GGA optimized geometry
data_Pm3PrNd
_chemical_formula_sum 'Pm6 Pr2 Nd2'
_cell_length_a 9.696
_cell_length_b 9.696
_cell_length_c 10.398
_cell_angle_alpha 105.53
_cell_angle_beta 105.53
_cell_angle_gamma 21.82
_symmetry_space_group_name_H-M 'P 1'
_symmetry_Int_Tables_number 1
loop_
_symmetry_equiv_pos_as_xyz
'x,y,z'
loop_
_atom_site_label
_atom_site_fract_x
_atom_site_fract_y
_atom_site_fract_z
Pm1 0.000 0.000 0.248
Pm2 0.000 0.000 0.752
Pm3 0.200 0.200 0.350
Pm4 0.400 0.400 0.950
Pm5 0.600 0.600 0.050
Pm6 0.800 0.800 0.650
Pr1 0.400 0.400 0.451
Pr2 0.600 0.600 0.549
Nd1 0.200 0.200 0.851
Nd2 0.800 0.800 0.149
# energy above the most stable polymorph in this dataset: 0 meV per atom
# calculated total energy: -4.748 eV per atom
# N(E_F): 1.443 states/eV/atom
# energy relative to the elements: 0.01 eV/atom



# PmPr8Nd6 PBE-GGA optimized geometry
data_PmPr8Nd6
_chemical_formula_sum 'Pm1 Pr8 Nd6'
_cell_length_a 9.644
_cell_length_b 9.644
_cell_length_c 6.781
_cell_angle_alpha 90.00
_cell_angle_beta 90.00
_cell_angle_gamma 120.00
_symmetry_space_group_name_H-M 'P 1'
_symmetry_Int_Tables_number 1
loop_
_symmetry_equiv_pos_as_xyz
'x,y,z'
loop_
_atom_site_label
_atom_site_fract_x
_atom_site_fract_y
_atom_site_fract_z
Pm1 0.000 0.000 0.000
Pr1 0.029 0.744 0.338
Pr2 0.256 0.285 0.338
Pr3 0.285 0.029 0.662
Pr4 0.333 0.667 0.391
Pr5 0.667 0.333 0.609
Pr6 0.715 0.971 0.338
Pr7 0.744 0.715 0.662
Pr8 0.971 0.256 0.662
Nd1 0.086 0.655 0.844
Nd2 0.345 0.431 0.844
Nd3 0.431 0.086 0.156
Nd4 0.569 0.914 0.844
Nd5 0.655 0.569 0.156
Nd6 0.914 0.345 0.156
# energy above the most stable polymorph in this dataset: 23 meV per atom
# calculated total energy: -4.612 eV per atom
# N(E_F): 1.541 states/eV/atom
# energy relative to the elements: 0.16 eV/atom



# Pm2PrNd6 PBE-GGA optimized geometry
data_Pm2PrNd6
_chemical_formula_sum 'Pm2 Pr1 Nd6'
_cell_length_a 10.102
_cell_length_b 10.102
_cell_length_c 3.586
_cell_angle_alpha 90.00
_cell_angle_beta 90.00
_cell_angle_gamma 120.31
_symmetry_space_group_name_H-M 'P 1'
_symmetry_Int_Tables_number 1
loop_
_symmetry_equiv_pos_as_xyz
'x,y,z'
loop_
_atom_site_label
_atom_site_fract_x
_atom_site_fract_y
_atom_site_fract_z
Pm1 0.167 0.833 0.000
Pm2 0.833 0.167 0.000
Pr1 0.500 0.500 0.000
Nd1 0.165 0.499 0.500
Nd2 0.167 0.167 0.500
Nd3 0.499 0.165 0.500
Nd4 0.501 0.835 0.500
Nd5 0.833 0.833 0.500
Nd6 0.835 0.501 0.500
# energy above the most stable polymorph in this dataset: 0 meV per atom
# calculated total energy: -4.765 eV per atom
# N(E_F): 1.449 states/eV/atom
# energy relative to the elements: 0.00 eV/atom



# Pm3Pr4Nd8 PBE-GGA optimized geometry
data_Pm3Pr4Nd8
_chemical_formula_sum 'Pm3 Pr4 Nd8'
_cell_length_a 9.458
_cell_length_b 9.458
_cell_length_c 6.956
_cell_angle_alpha 111.57
_cell_angle_beta 111.57
_cell_angle_gamma 82.24
_symmetry_space_group_name_H-M 'P 1'
_symmetry_Int_Tables_number 1
loop_
_symmetry_equiv_pos_as_xyz
'x,y,z'
loop_
_atom_site_label
_atom_site_fract_x
_atom_site_fract_y
_atom_site_fract_z
Pm1 0.000 0.000 0.000
Pm2 0.000 0.500 0.500
Pm3 0.500 0.000 0.500
Pr1 0.000 0.500 0.000
Pr2 0.500 0.000 0.000
Pr3 0.500 0.500 0.000
Pr4 0.500 0.500 0.500
Nd1 0.201 0.201 0.701
Nd2 0.202 0.798 0.500
Nd3 0.251 0.251 0.254
Nd4 0.251 0.749 0.000
Nd5 0.749 0.251 0.000
Nd6 0.749 0.749 0.746
Nd7 0.798 0.202 0.500
Nd8 0.799 0.799 0.299
# calculated total energy: -4.474 eV per atom
# N(E_F): 1.691 states/eV/atom
# energy relative to the elements: 0.29 eV/atom